{
  "formula": "CdH6F12",
  "functional": "PBE-GGA",
  "state": "relaxed",
  "n_ef_per_ev_cell": 10.636,
  "energy_ev_per_atom": -3.497,
  "crystal_system": "trigonal",
  "lattice": [[5.4232, 3.1311, 2.2829], [-5.4232, 3.1311, 2.2829], [0.0000, -6.2622, 2.2829]],
  "species": ["Cd", "H", "H", "H", "H", "H", "H", "F", "F", "F", "F", "F", "F", "F", "F", "F", "F", "F", "F"],
  "fractional_positions": [[0.0000, 0.0000, 0.0000], [0.0955, 0.4892, 0.2528], [0.2528, 0.0955, 0.4892], [0.4892, 0.2528, 0.0955], [0.5108, 0.7472, 0.9045], [0.7472, 0.9045, 0.5108], [0.9045, 0.5108, 0.7472], [0.0835, 0.3643, 0.3074], [0.0952, 0.6387, 0.1414], [0.1414, 0.0952, 0.6387], [0.3074, 0.0835, 0.3643], [0.3613, 0.8586, 0.9048], [0.3643, 0.3074, 0.0835], [0.6357, 0.6926, 0.9165], [0.6387, 0.1414, 0.0952], [0.6926, 0.9165, 0.6357], [0.8586, 0.9048, 0.3613], [0.9048, 0.3613, 0.8586], [0.9165, 0.6357, 0.6926]]
}